Density functional theory data (PBE) for a relaxed Nd2PaBi2N2 crystal.

Values from the calculation:
- total energy (eV/atom) = -7.270
- symmetry = I4/mmm
- crystal system = tetragonal

```
Nd2PaBi2N2
1.0
-2.220 2.220 8.433
2.220 -2.220 8.433
2.220 2.220 -8.433
Nd Pa Bi N
2 1 2 2
direct
0.107 0.107 0.000
0.893 0.893 0.000
0.500 0.500 0.000
0.307 0.307 0.000
0.693 0.693 0.000
0.000 0.500 0.500
0.500 0.000 0.500
```


Density functional theory data (PBE) for a relaxed NdPaBiN2 crystal.

Values from the calculation:
- total energy (eV/atom) = -8.338
- symmetry = I4mm
- crystal system = tetragonal

```
NdPaBiN2
1.0
-2.000 2.000 6.902
2.000 -2.000 6.902
2.000 2.000 -6.902
Nd Pa Bi N
1 1 1 2
direct
0.000 0.000 0.000
0.338 0.338 0.000
0.669 0.669 0.000
0.404 0.904 0.500
0.904 0.404 0.500
```


Density functional theory data (PBE) for a relaxed Pm4Nd2Bi3N2 crystal.

Values from the calculation:
- total energy (eV/atom) = -6.190
- symmetry = I4/mmm
- crystal system = tetragonal

```
Pm4Nd2Bi3N2
1.0
-2.413 2.413 13.281
2.413 -2.413 13.281
2.413 2.413 -13.281
Pm Nd Bi N
4 2 3 2
direct
0.084 0.584 0.500
0.416 0.916 0.500
0.584 0.084 0.500
0.916 0.416 0.500
0.191 0.191 0.000
0.809 0.809 0.000
0.321 0.321 0.000
0.500 0.500 0.000
0.679 0.679 0.000
0.104 0.104 0.000
0.896 0.896 0.000
```


Density functional theory data (PBE) for a relaxed PrNdBiN crystal.

Values from the calculation:
- total energy (eV/atom) = -6.596
- symmetry = P4/nmm
- crystal system = tetragonal

```
PrNdBiN
1.0
4.757 0.000 0.000
0.000 4.757 0.000
0.000 0.000 9.464
Pr Nd Bi N
2 2 2 2
direct
0.250 0.250 0.177
0.750 0.750 0.823
0.250 0.750 0.500
0.750 0.250 0.500
0.250 0.250 0.805
0.750 0.750 0.195
0.250 0.250 0.420
0.750 0.750 0.580
```


Density functional theory data (PBE) for a relaxed Pr4Nd2Bi3N2 crystal.

Values from the calculation:
- total energy (eV/atom) = -6.168
- symmetry = I4/mmm
- crystal system = tetragonal

```
Pr4Nd2Bi3N2
1.0
-2.446 2.446 13.400
2.446 -2.446 13.400
2.446 2.446 -13.400
Pr Nd Bi N
4 2 3 2
direct
0.084 0.584 0.500
0.416 0.916 0.500
0.584 0.084 0.500
0.916 0.416 0.500
0.192 0.192 0.000
0.808 0.808 0.000
0.320 0.320 0.000
0.500 0.500 0.000
0.680 0.680 0.000
0.106 0.106 0.000
0.894 0.894 0.000
```


Density functional theory data (PBE) for a relaxed Nd2PuBi2N2 crystal.

Values from the calculation:
- total energy (eV/atom) = -7.773
- symmetry = I4/mmm
- crystal system = tetragonal

```
Nd2PuBi2N2
1.0
-2.201 2.201 8.277
2.201 -2.201 8.277
2.201 2.201 -8.277
Nd Pu Bi N
2 1 2 2
direct
0.103 0.103 0.000
0.897 0.897 0.000
0.500 0.500 0.000
0.304 0.304 0.000
0.696 0.696 0.000
0.000 0.500 0.500
0.500 0.000 0.500
```